Entry 1:
Sm3DyRh3 PBE relaxed; total DFT energy (no corrections) = -6.45 eV/atom
1.0
-5.780 2.617 2.895
1.542 -4.281 5.285
3.833 5.094 2.957
Sm Rh Dy
6 6 2
Direct
0.325 0.325 0.614
0.182 0.818 0.500
0.675 0.675 0.386
0.818 0.182 0.500
0.252 0.748 0.000
0.748 0.252 0.000
0.059 0.059 0.801
0.499 0.995 0.731
0.995 0.499 0.731
0.941 0.941 0.199
0.501 0.005 0.269
0.005 0.501 0.269
0.242 0.242 0.117
0.758 0.758 0.883



Entry 2:
KTi2Sb2 PBE relaxed; energy above the most stable polymorph in this dataset = 0 meV/atom
1.0
-0.180 -4.104 1.783
4.376 -0.533 -0.787
3.591 0.417 6.945
Ti K Sb
2 1 2
Direct
0.750 0.250 0.500
0.250 0.750 0.500
0.000 0.000 0.000
0.362 0.362 0.277
0.638 0.638 0.723



Entry 3:
CsHfSn2Te PBE relaxed; total DFT energy (no corrections) = -3.89 eV/atom
1.0
-5.510 0.283 0.771
-0.769 -5.266 -3.562
0.476 -3.158 4.565
Cs Sn Te Hf
1 2 1 1
Direct
0.000 0.500 0.000
0.500 0.000 0.000
0.000 0.000 0.500
0.500 0.500 0.500
0.000 0.000 0.000



Entry 4:
K2AcBiTe4 PBE relaxed; total DFT energy (no corrections) = -3.89 eV/atom
1.0
-3.738 -0.283 -2.875
-4.605 -2.572 6.241
-0.432 8.737 -0.298
Ac Te Bi K
1 4 1 2
Direct
0.500 0.500 0.000
0.500 0.773 0.786
0.000 0.249 0.779
0.000 0.751 0.221
0.500 0.227 0.214
0.000 0.000 0.000
0.000 0.500 0.500
0.500 0.000 0.500



Entry 5:
KReBr2 PBE relaxed; energy above the most stable polymorph in this dataset = 270 meV/atom
1.0
3.576 0.000 0.000
0.000 8.013 -0.020
0.000 4.789 3.928
Br Re K
2 1 1
Direct
0.500 0.500 0.000
0.000 0.000 0.000
0.000 0.000 0.500
0.500 0.500 0.500



Entry 6:
LiBSe2 PBE relaxed; total DFT energy (no corrections) = -4.27 eV/atom
1.0
8.421 0.000 0.000
0.000 3.403 0.000
0.000 0.000 12.993
Li Se B
4 8 4
Direct
0.454 0.750 0.101
0.546 0.250 0.899
0.046 0.250 0.601
0.954 0.750 0.399
0.606 0.750 0.279
0.780 0.250 0.484
0.280 0.250 0.016
0.106 0.750 0.221
0.394 0.250 0.721
0.720 0.750 0.984
0.894 0.250 0.779
0.220 0.750 0.516
0.825 0.750 0.855
0.325 0.750 0.645
0.675 0.250 0.355
0.175 0.250 0.145



Entry 7:
TmNbPt6 PBE relaxed; total DFT energy (no corrections) = -7.23 eV/atom
1.0
-2.968 -2.537 1.056
2.747 -2.706 1.220
-0.118 3.235 7.440
Pt Nb Tm
6 1 1
Direct
0.500 0.000 0.738
0.500 0.000 0.262
0.000 0.500 0.738
0.500 0.500 0.500
0.500 0.500 0.000
0.000 0.500 0.262
0.000 0.000 0.500
0.000 0.000 0.000



Entry 8:
Dy6Y2TmSc PBE relaxed; total DFT energy (no corrections) = -5.00 eV/atom
1.0
-6.124 -2.612 -6.612
-2.253 -6.393 5.413
-3.740 7.732 1.211
Dy Tm Y Sc
12 2 4 2
Direct
0.883 0.292 0.508
0.191 0.566 0.007
0.056 0.126 0.754
0.691 0.007 0.566
0.383 0.508 0.292
0.556 0.754 0.126
0.809 0.434 0.993
0.309 0.993 0.434
0.944 0.874 0.246
0.444 0.246 0.874
0.617 0.492 0.708
0.117 0.708 0.492
0.750 0.023 0.977
0.250 0.977 0.023
0.046 0.302 0.201
0.954 0.698 0.799
0.546 0.201 0.302
0.454 0.799 0.698
0.250 0.413 0.587
0.750 0.587 0.413



Entry 9:
Dy6NiSe3S2 PBE relaxed; total DFT energy (no corrections) = -5.96 eV/atom
1.0
3.923 0.000 0.000
0.000 8.169 0.248
-1.961 -2.398 8.484
Dy S Se Ni
6 2 3 1
Direct
0.998 0.772 0.996
0.002 0.228 0.004
0.340 0.910 0.680
0.660 0.090 0.320
0.670 0.572 0.339
0.330 0.428 0.661
0.832 0.664 0.663
0.168 0.336 0.337
0.171 0.831 0.341
0.500 0.500 0.000
0.829 0.169 0.659
0.500 0.000 0.000



Entry 10:
CoAs2Pt PBE relaxed; energy above the most stable polymorph in this dataset = 178 meV/atom
1.0
6.331 0.968 -0.077
3.991 5.010 0.077
-4.829 -3.562 2.241
As Pt Co
2 1 1
Direct
0.031 0.031 0.000
0.307 0.807 0.500
0.684 0.184 0.500
0.477 0.477 0.000



Entry 11:
ZrAg2Os PBE relaxed; energy above the most stable polymorph in this dataset = 140 meV/atom
1.0
2.932 0.044 0.000
-0.918 2.785 0.000
0.000 0.000 8.934
Zr Ag Os
1 2 1
Direct
0.500 0.500 0.729
0.500 0.500 0.258
0.000 0.000 0.003
0.000 0.000 0.510



Entry 12:
PmNiAg PBE relaxed; energy above the most stable polymorph in this dataset = 119 meV/atom
1.0
5.642 0.000 0.000
0.000 4.901 -0.005
0.000 -2.111 4.423
Ni Pm Ag
2 2 2
Direct
0.250 0.298 0.702
0.750 0.702 0.298
0.750 0.343 0.657
0.250 0.657 0.343
0.000 0.000 0.000
0.500 0.000 0.000



no.,magnetization (μB/f.u.)
1,0.000
2,0.000
3,0.571
4,0.000
5,4.353
6,0.000
7,0.000
8,0.000
9,0.000
10,0.000
11,0.000
12,0.000